Record 1
This record from the Alexandria database describes crystalline Pu2AlCu3Si4 at its relaxed geometry. The functional is PBE.

- Crystal system: tetragonal
- V: 164.4 Å³/cell
- SG: P-4m2 (115)
- Formation energy from raw total energies: -0.370 eV per atom
- Electronic total energy: -7.008 eV/atom

```
Pu2AlCu3Si4
1.0
-0.383 -3.444 2.033
-1.556 -1.753 -3.263
9.340 -2.785 -2.960
Si Cu Al Pu
4 3 1 2
Direct
0.000 0.500 0.353
0.500 0.500 0.000
0.000 0.000 0.000
0.500 0.000 0.647
0.000 0.500 0.125
0.500 0.000 0.875
0.000 0.000 0.500
0.500 0.500 0.500
0.000 0.500 0.758
0.500 0.000 0.242
```

Record 2
This record from the Alexandria database describes crystalline MgReAu2 at its relaxed geometry. The functional is PBE.

- Formation energy from the elements: 0.152 eV per atom
- Crystal system: tetragonal
- V: 67.7 Å³/cell
- SG: P4mm (99)
- Electronic total energy: -4.998 eV/atom

```
MgReAu2
1.0
-0.414 1.417 -2.353
1.430 -1.921 -1.408
-7.413 -4.491 -1.399
Mg Re Au
1 1 2
Direct
0.000 0.000 0.503
0.500 0.500 0.747
0.000 0.000 0.988
0.500 0.500 0.262
```

Record 3
This record from the Alexandria database describes crystalline LiLaTe3 at its relaxed geometry. The functional is PBE.

- Crystal system: cubic
- V: 234.8 Å³/cell
- SG: Pm-3m (221)
- Formation energy from raw total energies: -0.454 eV per atom
- Electronic total energy: -3.707 eV/atom

```
LiLaTe3
1.0
-1.196 -4.679 -3.839
4.003 -3.546 3.075
-4.539 -1.894 3.724
Li Te La
1 3 1
Direct
0.500 0.500 0.500
0.000 0.000 0.500
0.500 0.000 0.000
0.000 0.500 0.000
0.000 0.000 0.000
```

Record 4
This record from the Alexandria database describes crystalline BaB2Se4 at its relaxed geometry. The functional is PBE.

- Crystal system: tetragonal
- V: 239.5 Å³/cell
- SG: I4/mmm (139)
- Formation energy from raw total energies: 0.068 eV per atom
- Electronic total energy: -4.106 eV/atom

```
BaB2Se4
1.0
-4.210 -4.659 0.101
4.586 -4.118 1.200
-0.609 -3.539 6.611
Se B Ba
4 2 1
Direct
0.000 0.500 0.000
0.500 0.000 0.000
0.714 0.714 0.572
0.286 0.286 0.428
0.434 0.434 0.132
0.566 0.566 0.868
0.000 0.000 0.000
```

Record 5
This record from the Alexandria database describes crystalline HfV3Ir at its relaxed geometry. The functional is PBE.

- Formation energy from the elements: 1.813 eV per atom
- Crystal system: cubic
- V: 91.9 Å³/cell
- SG: Pm-3m (221)
- Electronic total energy: -7.421 eV/atom

```
HfV3Ir
1.0
4.513 0.000 0.000
0.000 4.513 0.000
0.000 0.000 4.513
V Ir Hf
3 1 1
Direct
0.500 0.000 0.000
0.000 0.500 0.000
0.000 0.000 0.500
0.500 0.500 0.500
0.000 0.000 0.000
```

Record 6
This record from the Alexandria database describes crystalline SrBe2Ni2 at its relaxed geometry. The functional is PBE.

- Formation energy from the elements: 0.012 eV per atom
- Crystal system: tetragonal
- V: 76.6 Å³/cell
- SG: I4/mmm (139)
- Electronic total energy: -4.128 eV/atom

```
SrBe2Ni2
1.0
3.959 0.000 0.000
0.000 3.959 0.000
1.979 1.979 4.890
Be Ni Sr
2 2 1
Direct
0.250 0.750 0.500
0.750 0.250 0.500
0.346 0.346 0.309
0.654 0.654 0.691
0.000 0.000 0.000
```

Record 7
This record from the Alexandria database describes crystalline Ag6O3F at its relaxed geometry. The functional is PBE.

- Crystal system: trigonal
- V: 145.9 Å³/cell
- SG: P-3m1 (164)
- Formation energy from raw total energies: -0.130 eV per atom
- Electronic total energy: -3.515 eV/atom

```
Ag6O3F
1.0
-2.888 1.282 0.587
0.627 -1.302 -2.871
-5.319 -14.446 5.388
Ag O F
6 3 1
Direct
0.667 0.333 0.605
0.667 0.333 0.912
0.667 0.333 0.218
0.333 0.667 0.088
0.333 0.667 0.395
0.333 0.667 0.782
0.000 0.000 0.000
0.000 0.000 0.304
0.000 0.000 0.696
0.000 0.000 0.500
```

Record 8
This record from the Alexandria database describes crystalline YRe at its relaxed geometry. The functional is PBE.

- Formation energy from the elements: 0.410 eV per atom
- Crystal system: tetragonal
- V: 102.9 Å³/cell
- SG: P4/nmm (129)
- Electronic total energy: -9.046 eV/atom

```
YRe
1.0
3.601 0.000 0.000
0.000 3.601 0.000
0.000 0.000 7.933
Re Y
2 2
Direct
0.750 0.250 0.000
0.250 0.750 0.000
0.750 0.750 0.685
0.250 0.250 0.315
```

Record 9
This record from the Alexandria database describes crystalline RbNa2AlF6 at its relaxed geometry. The functional is PBE.

- Crystal system: cubic
- V: 170.5 Å³/cell
- SG: Fm-3m (225)
- Formation energy from raw total energies: -2.942 eV per atom
- Electronic total energy: -4.799 eV/atom

```
RbNa2AlF6
1.0
-1.809 -4.030 -4.386
-6.040 -1.326 -0.708
-3.065 2.033 -5.022
F Na Al Rb
6 2 1 1
Direct
0.793 0.207 0.793
0.207 0.793 0.207
0.207 0.793 0.793
0.793 0.207 0.207
0.207 0.207 0.793
0.793 0.793 0.207
0.250 0.250 0.250
0.750 0.750 0.750
0.000 0.000 0.000
0.500 0.500 0.500
```

Record 10
This record from the Alexandria database describes crystalline KSr3Ac2Se6 at its relaxed geometry. The functional is PBE.

- Crystal system: monoclinic
- V: 384.6 Å³/cell
- SG: C2/m (12)
- Formation energy from raw total energies: -1.916 eV per atom
- Electronic total energy: -4.855 eV/atom

```
KSr3Ac2Se6
1.0
-2.461 -3.603 1.014
7.065 -5.338 -1.818
2.299 3.745 8.992
Ac Se Sr K
2 6 3 1
Direct
0.836 0.670 0.671
0.164 0.330 0.329
0.668 0.584 0.336
0.997 0.735 0.995
0.327 0.911 0.654
0.332 0.416 0.664
0.003 0.265 0.005
0.673 0.089 0.346
0.500 0.500 0.000
0.838 0.165 0.675
0.162 0.835 0.325
0.500 0.000 0.000
```

Record 11
This record from the Alexandria database describes crystalline NaZrRhW2 at its relaxed geometry. The functional is PBE.

- Formation energy from the elements: 2.349 eV per atom
- Crystal system: tetragonal
- V: 111.0 Å³/cell
- SG: P4/mmm (123)
- Electronic total energy: -6.276 eV/atom

```
NaZrRhW2
1.0
4.781 0.000 0.000
0.000 4.858 0.000
0.000 0.000 4.781
W Na Zr Rh
2 1 1 1
Direct
0.500 0.000 0.000
0.000 0.000 0.500
0.000 0.500 0.000
0.000 0.000 0.000
0.500 0.500 0.500
```

Record 12
This record from the Alexandria database describes crystalline Ba2YSn3Pt4 at its relaxed geometry. The functional is PBE.

- Formation energy from the elements: -0.860 eV per atom
- Crystal system: tetragonal
- V: 254.6 Å³/cell
- SG: P-4m2 (115)
- Electronic total energy: -5.508 eV/atom

```
Ba2YSn3Pt4
1.0
4.762 0.000 0.000
0.000 4.762 0.000
0.000 0.000 11.227
Sn Pt Ba Y
3 4 2 1
Direct
0.000 0.000 0.500
0.000 0.500 0.118
0.500 0.000 0.882
0.500 0.000 0.639
0.000 0.000 0.000
0.000 0.500 0.361
0.500 0.500 0.000
0.000 0.500 0.766
0.500 0.000 0.234
0.500 0.500 0.500
```

For each record above, in turn, the calculated spin magnetization values are 11.0 0.0 0.0 2.0 1.5 0.0 1.1 0.0 0.0 0.0 0.0 0.0 μB/cell.